# Ac3Ge2AsPd9, optimized geometry, DFT PBE
data_Ac3Ge2AsPd9
_cell_length_a 6.704
_cell_length_b 6.704
_cell_length_c 8.586
_cell_angle_alpha 90.00
_cell_angle_beta 90.00
_cell_angle_gamma 120.00
_symmetry_space_group_name_H-M 'P 1'
_symmetry_Int_Tables_number 1
loop_
_symmetry_equiv_pos_as_xyz
'x,y,z'
loop_
_atom_site_label
_atom_site_type_symbol
_atom_site_fract_x
_atom_site_fract_y
_atom_site_fract_z
Pd1 Pd 0.500 0.000 0.000
Pd2 Pd 0.145 0.290 0.294
Pd3 Pd 0.145 0.855 0.294
Pd4 Pd 0.710 0.855 0.294
Pd5 Pd 0.500 0.500 0.000
Pd6 Pd 0.855 0.145 0.706
Pd7 Pd 0.290 0.145 0.706
Pd8 Pd 0.000 0.500 0.000
Pd9 Pd 0.855 0.710 0.706
Ac1 Ac 0.333 0.667 0.673
Ac2 Ac 0.000 0.000 0.000
Ac3 Ac 0.667 0.333 0.327
Ge1 Ge 0.333 0.667 0.183
Ge2 Ge 0.667 0.333 0.817
As1 As 0.000 0.000 0.500
# SG: P-3m1, No. 164
# E: -5.520 eV/atom
# Size of the total moment: 0.00 μB/f.u.
# DFT formation energy: -657 meV/atom
# Density of states at the Fermi level: 5.12 states/eV/f.u.